Record 1
Below is an optimized crystal structure of Pb2AuSe, with properties calculated at the PBE level.

## Properties
Uncorrected formation energy, eV/atom: -0.22
Theoretical density, Mg/m³: 10.40
Electronic total energy, eV per atom: -3.77
Total moment, μB per atom: 0.00

Lattice parameters (Å, degrees): 11.834 4.162 4.477 90.00 90.05 90.00
Space group Cm (No. 8)
Unique sites:
Pb  0.000  0.000  0.000 x2
Pb  0.240  0.500  0.499 x2
Au  0.251  0.000  0.999 x2
Se  0.498  0.000  0.500 x2

Record 2
Below is an optimized crystal structure of PbAu3Se, with properties calculated at the PBE level.

## Properties
Uncorrected formation energy, eV/atom: 0.35
Theoretical density, Mg/m³: 11.11
Electronic total energy, eV per atom: -3.05
Total moment, μB per atom: 0.00

Lattice parameters (Å, degrees): 5.080 5.080 5.080 90.00 90.00 90.00
Space group Pm-3m (No. 221)
Unique sites:
Pb  0.000  0.000  0.000 x1
Au  0.000  0.500  0.500 x3
Se  0.500  0.500  0.500 x1

Record 3
Below is an optimized crystal structure of Pb2Au2Se, with properties calculated at the PBE level.

## Properties
Uncorrected formation energy, eV/atom: 0.00
Theoretical density, Mg/m³: 11.33
Electronic total energy, eV per atom: -3.49
Total moment, μB per atom: 0.00

Lattice parameters (Å, degrees): 8.443 8.443 3.650 90.00 90.00 90.00
Space group P4/mbm (No. 127)
Unique sites:
Pb  0.192  0.308  0.000 x4
Au  0.115  0.615  0.500 x4
Se  0.000  0.000  0.000 x2

Record 4
Below is an optimized crystal structure of SnPb2AuSe5, with properties calculated at the PBE level.

## Properties
Uncorrected formation energy, eV/atom: -0.29
Theoretical density, Mg/m³: 7.67
Electronic total energy, eV per atom: -3.86
Total moment, μB per atom: 0.00

Lattice parameters (Å, degrees): 3.994 19.057 12.800 90.00 90.00 90.00
Space group Cmc2_1 (No. 36)
Unique sites:
Sn  0.000  0.219  0.000 x4
Pb  0.000  0.117  0.293 x4
Pb  0.000  0.124  0.675 x4
Au  0.000  0.459  0.433 x4
Se  0.000  0.077  0.041 x4
Se  0.000  0.283  0.655 x4
Se  0.000  0.285  0.355 x4
Se  0.000  0.362  0.003 x4
Se  0.000  0.498  0.751 x4

Record 5
Below is an optimized crystal structure of TePb2AuSe5, with properties calculated at the PBE level.

## Properties
Uncorrected formation energy, eV/atom: -0.19
Theoretical density, Mg/m³: 7.57
Electronic total energy, eV per atom: -3.67
Total moment, μB per atom: 0.00

Lattice parameters (Å, degrees): 4.050 18.424 13.338 90.00 90.00 90.00
Space group Cmc2_1 (No. 36)
Unique sites:
Te  0.000  0.220  0.000 x4
Pb  0.000  0.093  0.648 x4
Pb  0.000  0.137  0.285 x4
Au  0.000  0.469  0.427 x4
Se  0.000  0.048  0.037 x4
Se  0.000  0.270  0.656 x4
Se  0.000  0.295  0.357 x4
Se  0.000  0.365  0.974 x4
Se  0.000  0.494  0.746 x4

Record 6
Below is an optimized crystal structure of Tm4PbAuSe2, with properties calculated at the PBE level.

## Properties
Uncorrected formation energy, eV/atom: -1.13
Theoretical density, Mg/m³: 10.15
Electronic total energy, eV per atom: -5.11
Total moment, μB per atom: 0.00

Lattice parameters (Å, degrees): 6.946 3.962 7.712 90.00 107.41 90.00
Space group P2/m (No. 10)
Unique sites:
Tm  0.233  0.000  0.231 x2
Tm  0.239  0.500  0.757 x2
Pb  0.500  0.500  0.500 x1
Au  0.000  0.000  0.500 x1
Se  0.000  0.500  0.000 x1
Se  0.500  0.000  0.000 x1

Record 7
Below is an optimized crystal structure of Tm6PbAu2Se3, with properties calculated at the PBE level.

## Properties
Uncorrected formation energy, eV/atom: -1.17
Theoretical density, Mg/m³: 10.27
Electronic total energy, eV per atom: -5.13
Total moment, μB per atom: 0.00

Lattice parameters (Å, degrees): 18.604 3.969 8.575 90.00 108.91 90.00
Space group C2/m (No. 12)
Unique sites:
Tm  0.009  0.000  0.269 x4
Tm  0.161  0.500  0.603 x4
Tm  0.174  0.500  0.115 x4
Pb  0.000  0.500  0.000 x2
Au  0.180  0.000  0.372 x4
Se  0.000  0.500  0.500 x2
Se  0.161  0.000  0.852 x4

Record 8
Below is an optimized crystal structure of UPb2AuSe5, with properties calculated at the PBE level.

## Properties
Uncorrected formation energy, eV/atom: -0.64
Theoretical density, Mg/m³: 8.03
Electronic total energy, eV per atom: -5.01
Total moment, μB per atom: 0.11

Lattice parameters (Å, degrees): 4.187 18.239 13.469 90.00 90.00 90.00
Space group Cmc2_1 (No. 36)
Unique sites:
U  0.000  0.213  0.000 x4
Pb  0.000  0.101  0.262 x4
Pb  0.000  0.104  0.619 x4
Au  0.000  0.420  0.416 x4
Se  0.000  0.064  0.035 x4
Se  0.000  0.271  0.639 x4
Se  0.000  0.283  0.364 x4
Se  0.000  0.364  0.971 x4
Se  0.000  0.492  0.251 x4

Record 9
Below is an optimized crystal structure of SiPb2Au3, with properties calculated at the PBE level.

## Properties
Uncorrected formation energy, eV/atom: -0.03
Theoretical density, Mg/m³: 12.55
Electronic total energy, eV per atom: -3.81
Total moment, μB per atom: 0.00

Lattice parameters (Å, degrees): 14.160 6.555 5.893 90.00 90.00 90.00
Space group Cmc2_1 (No. 36)
Unique sites:
Si  0.000  0.196  0.000 x4
Pb  0.187  0.367  0.616 x8
Au  0.000  0.459  0.319 x4
Au  0.113  0.045  0.299 x8

Record 10
Below is an optimized crystal structure of SiPbAu2, with properties calculated at the PBE level.

## Properties
Uncorrected formation energy, eV/atom: 0.26
Theoretical density, Mg/m³: 12.47
Electronic total energy, eV per atom: -3.66
Total moment, μB per atom: 0.00

Lattice parameters (Å, degrees): 4.748 4.748 3.717 90.00 90.00 90.00
Space group P4/mmm (No. 123)
Unique sites:
Si  0.000  0.000  0.000 x1
Pb  0.500  0.500  0.000 x1
Au  0.000  0.500  0.500 x2

Record 11
Below is an optimized crystal structure of SiPbAu4, with properties calculated at the PBE level.

## Properties
Uncorrected formation energy, eV/atom: 0.20
Theoretical density, Mg/m³: 13.56
Electronic total energy, eV per atom: -3.51
Total moment, μB per atom: 0.00

Lattice parameters (Å, degrees): 7.943 7.943 7.943 90.00 90.00 90.00
Space group F-43m (No. 216)
Unique sites:
Si  0.000  0.000  0.000 x4
Pb  0.250  0.250  0.250 x4
Au  0.125  0.125  0.625 x16

Record 12
Below is an optimized crystal structure of SiPb4Au5, with properties calculated at the PBE level.

## Properties
Uncorrected formation energy, eV/atom: -0.03
Theoretical density, Mg/m³: 13.11
Electronic total energy, eV per atom: -3.69
Total moment, μB per atom: 0.00

Lattice parameters (Å, degrees): 9.737 9.737 4.920 90.00 90.00 90.00
Space group I4mm (No. 107)
Unique sites:
Si  0.000  0.000  0.000 x2
Pb  0.000  0.302  0.314 x8
Au  0.000  0.000  0.491 x2
Au  0.180  0.180  0.826 x8

Q: Among the records above, which one has the lowest theoretical density?
A: TePb2AuSe5